Record 1
## Ba2Hg6Bi3 (PBE)

Data for Ba2Hg6Bi3 after structural relaxation.

Computed properties:
total magnetization = 0.00 μB per atom
symmetry = P-62m
crystal system = hexagonal
energy of formation from the pure elements = -0.286 eV/atom
uncorrected energy = -1.859 eV per atom

Cell: 4.752 9.352 9.352 Å, 120.00 90.00 90.00°
Atoms (fractional coordinates):
Bi 0.500 0.403 0.403
Hg 0.000 0.813 0.000
Ba 0.000 0.667 0.333
Hg 0.500 0.000 0.275
Hg 0.500 0.275 0.000
Hg 0.000 0.000 0.813
Ba 0.000 0.333 0.667
Hg 0.500 0.725 0.725
Bi 0.500 0.000 0.597
Bi 0.500 0.597 0.000
Hg 0.000 0.187 0.187

Record 2
## Ba5Hg4Bi (PBE)

Data for Ba5Hg4Bi after structural relaxation.

Computed properties:
total magnetization = 0.00 μB per atom
symmetry = P4/mmm
crystal system = tetragonal
energy of formation from the pure elements = -0.580 eV/atom
uncorrected energy = -2.051 eV per atom

Cell: 4.312 4.312 20.626 Å, 90.00 90.00 90.00°
Atoms (fractional coordinates):
Hg 0.000 0.000 0.798
Ba 0.500 0.500 0.500
Ba 0.500 0.500 0.097
Hg 0.000 0.000 0.202
Hg 0.000 0.000 0.402
Ba 0.500 0.500 0.903
Hg 0.000 0.000 0.598
Ba 0.500 0.500 0.300
Bi 0.000 0.000 0.000
Ba 0.500 0.500 0.700

Record 3
## BaHg2Bi4 (PBE)

Data for BaHg2Bi4 after structural relaxation.

Computed properties:
total magnetization = 0.00 μB per atom
symmetry = Cmmm
crystal system = orthorhombic
energy of formation from the pure elements = -0.238 eV/atom
uncorrected energy = -2.816 eV per atom

Cell: 4.872 4.826 10.099 Å, 103.82 90.00 90.00°
Atoms (fractional coordinates):
Bi 0.500 0.827 0.654
Bi 0.500 0.173 0.346
Bi 0.000 0.328 0.655
Hg 0.500 0.428 0.857
Hg 0.500 0.572 0.143
Ba 0.000 0.000 0.000
Bi 0.000 0.672 0.345

Record 4
## Ba3HgBi3 (PBE)

Data for Ba3HgBi3 after structural relaxation.

Computed properties:
total magnetization = 0.00 μB per atom
symmetry = C2/m
crystal system = monoclinic
energy of formation from the pure elements = -0.734 eV/atom
uncorrected energy = -3.265 eV per atom

Cell: 5.077 7.061 17.329 Å, 77.58 81.58 68.93°
Atoms (fractional coordinates):
Ba 0.260 0.246 0.233
Bi 0.878 0.692 0.552
Bi 0.017 0.191 0.775
Bi 0.983 0.809 0.225
Ba 0.740 0.754 0.767
Bi 0.860 0.192 0.088
Ba 0.588 0.747 0.077
Hg 0.243 0.909 0.606
Hg 0.757 0.091 0.394
Ba 0.547 0.292 0.613
Ba 0.453 0.708 0.387
Ba 0.412 0.253 0.923
Bi 0.140 0.808 0.912
Bi 0.122 0.308 0.448

Record 5
## BaHg4Bi (PBE)

Data for BaHg4Bi after structural relaxation.

Computed properties:
total magnetization = 0.00 μB per atom
symmetry = Immm
crystal system = orthorhombic
energy of formation from the pure elements = -0.269 eV/atom
uncorrected energy = -1.438 eV per atom

Cell: 5.485 6.457 6.457 Å, 91.46 64.87 64.87°
Atoms (fractional coordinates):
Hg 0.745 0.918 0.592
Hg 0.255 0.082 0.408
Ba 0.000 0.000 0.000
Hg 0.255 0.408 0.082
Hg 0.745 0.592 0.918
Bi 0.500 0.500 0.500

Record 6
## Ba3Hg4Bi4 (PBE)

Data for Ba3Hg4Bi4 after structural relaxation.

Computed properties:
total magnetization = 0.00 μB per atom
symmetry = P-1
crystal system = triclinic
energy of formation from the pure elements = -0.498 eV/atom
uncorrected energy = -2.543 eV per atom

Cell: 5.242 5.138 15.108 Å, 80.02 82.95 90.15°
Atoms (fractional coordinates):
Ba 0.156 0.657 0.687
Bi 0.709 0.190 0.620
Hg 0.587 0.904 0.190
Bi 0.612 0.550 0.900
Ba 0.000 0.000 0.000
Hg 0.257 0.248 0.503
Ba 0.844 0.343 0.313
Bi 0.388 0.450 0.100
Hg 0.413 0.096 0.810
Bi 0.292 0.810 0.380
Hg 0.743 0.752 0.497